No. 1
Entry from Alexandria: an optimized crystal structure of RbTl4Bi2 (PBE).

Values from the calculation:
Calculated formation energy = -70 meV per atom
Energy above the most stable polymorph in this dataset = 28 kJ/mol of formula units
Energy = -0.1962 Ry per atom

```
7
Lattice="-3.353 4.304 4.311 3.353 -4.304 4.311 3.353 4.304 -4.311" Properties=species:S:1:pos:R:3 pbc="T T T"
Rb 0.000 0.000 0.000
Tl 3.353 1.655 -1.656
Tl 0.000 2.649 5.966
Tl 3.353 1.655 1.656
Tl 0.000 2.649 2.655
Bi 1.673 4.304 0.000
Bi 1.679 0.000 4.311
```

=====

No. 2
Entry from Alexandria: an optimized crystal structure of Rb2TbNpO6 (PBE).

Values from the calculation:
Energy = -0.5567 Ry per atom
Formation energy without anion corrections = -26.48 eV/f.u.

```
10
Lattice="0.000 4.349 4.349 4.349 0.000 4.349 4.349 4.349 0.000" Properties=species:S:1:pos:R:3 pbc="T T T"
Rb 2.175 2.175 2.175
Rb 6.524 6.524 6.524
Tb 0.000 0.000 0.000
Np 4.349 4.349 4.349
O 4.349 4.349 2.307
O 4.349 2.307 4.349
O 6.392 4.349 4.349
O 2.307 4.349 4.349
O 4.349 6.392 4.349
O 4.349 4.349 6.392
```

=====

No. 3
Entry from Alexandria: an optimized crystal structure of HfTh3O (PBE).

Values from the calculation:
Energy = -0.6199 Ry per atom
Formation energy without anion corrections = -5.00 eV/f.u.

```
5
Lattice="4.998 0.000 0.000 0.000 4.998 0.000 0.000 0.000 4.998" Properties=species:S:1:pos:R:3 pbc="T T T"
Hf 0.000 0.000 0.000
Th 0.000 2.499 2.499
Th 2.499 0.000 2.499
Th 2.499 2.499 0.000
O 2.499 2.499 2.499
```

=====

No. 4
Entry from Alexandria: an optimized crystal structure of CaPb2I6 (PBE).

Values from the calculation:
Energy above the most stable polymorph in this dataset = 40 kJ/mol of formula units
Energy = -0.2212 Ry per atom
Formation energy without anion corrections = -8.36 eV/f.u.

```
18
Lattice="7.593 0.000 0.000 0.000 7.593 0.000 0.000 0.000 14.439" Properties=species:S:1:pos:R:3 pbc="T T T"
Ca 0.000 0.000 0.000
Ca 3.796 3.796 7.219
Pb 0.000 0.000 4.814
Pb 0.000 0.000 9.625
Pb 3.796 3.796 2.406
Pb 3.796 3.796 12.033
I 1.485 1.485 2.349
I 1.485 1.485 12.090
I 1.547 1.547 7.219
I 2.249 5.343 0.000
I 2.311 5.282 4.871
I 2.311 5.282 9.568
I 5.282 2.311 4.871
I 5.282 2.311 9.568
I 5.343 2.249 0.000
I 6.046 6.046 7.219
I 6.107 6.107 2.349
I 6.107 6.107 12.090
```

=====

No. 5
Entry from Alexandria: an optimized crystal structure of MgNpTl2S4 (PBE).

Values from the calculation:
Energy = -0.3997 Ry per atom
Formation energy without anion corrections = -7.73 eV/f.u.

```
8
Lattice="6.696 0.000 0.000 0.000 3.980 0.000 -2.301 0.000 7.511" Properties=species:S:1:pos:R:3 pbc="T T T"
Mg 0.000 0.000 0.000
Np 3.348 1.990 0.000
Tl -1.150 1.990 3.755
Tl 2.198 0.000 3.755
S 1.100 1.990 1.412
S -0.052 0.000 6.044
S 4.447 0.000 1.467
S 3.296 1.990 6.098
```

=====

No. 6
Entry from Alexandria: an optimized crystal structure of CdGa2F (PBE).

Values from the calculation:
Energy = -0.2037 Ry per atom
Formation energy without anion corrections = -2.25 eV/f.u.

```
8
Lattice="-2.341 2.341 7.884 2.341 -2.341 7.884 2.341 2.341 -7.884" Properties=species:S:1:pos:R:3 pbc="T T T"
Cd 0.000 0.000 0.000
Cd 0.000 2.341 3.942
Ga 1.170 -0.647 5.913
Ga 1.694 1.170 1.971
Ga 1.170 2.988 -1.971
Ga 0.647 1.170 9.855
F 2.341 0.000 3.942
F 0.000 0.000 7.884
```

=====

No. 7
Entry from Alexandria: an optimized crystal structure of RuPtSe2 (PBE).

Values from the calculation:
Energy above the most stable polymorph in this dataset = 207 kJ/mol of formula units
Energy = -0.3759 Ry per atom
Formation energy without anion corrections = 1.83 eV/f.u.

```
4
Lattice="1.466 -2.511 0.000 1.466 2.511 0.000 0.000 0.000 9.168" Properties=species:S:1:pos:R:3 pbc="T T T"
Ru 0.000 0.000 0.000
Pt 0.000 0.000 4.584
Se 1.466 0.000 2.096
Se 1.466 0.000 7.072
```

=====

No. 8
Entry from Alexandria: an optimized crystal structure of BaNaBi4 (PBE).

Values from the calculation:
Calculated formation energy = -335 meV per atom
Energy above the most stable polymorph in this dataset = 4 kJ/mol of formula units
Energy = -0.2545 Ry per atom

```
6
Lattice="-2.774 3.674 5.248 2.774 -3.674 5.248 2.774 3.674 -5.248" Properties=species:S:1:pos:R:3 pbc="T T T"
Ba 0.000 0.000 0.000
Na 0.000 3.674 0.850
Bi 2.774 2.134 -1.333
Bi 2.774 1.786 1.862
Bi 0.000 1.540 3.915
Bi 0.000 1.888 7.110
```

=====

No. 9
Entry from Alexandria: an optimized crystal structure of AcPmNd2Er4 (PBE).

Values from the calculation:
Calculated formation energy = 425 meV per atom
Energy = -0.3054 Ry per atom

```
16
Lattice="-3.454 5.996 6.722 3.454 -5.996 6.722 3.454 5.996 -6.722" Properties=species:S:1:pos:R:3 pbc="T T T"
Ac 0.000 0.000 0.000
Ac 0.000 5.996 0.000
Pm -1.727 2.998 3.361
Pm 1.727 2.998 3.361
Nd 1.727 2.998 -3.361
Nd 1.727 -2.998 3.361
Nd 3.454 0.000 0.000
Nd 0.000 0.000 6.722
Er 3.454 0.014 3.253
Er 1.813 2.998 0.014
Er 5.094 2.998 0.014
Er 0.000 0.014 3.469
Er 3.454 5.982 3.253
Er -1.640 2.998 6.708
Er 1.640 2.998 6.708
Er 0.000 5.982 3.469
```

=====

No. 10
Entry from Alexandria: an optimized crystal structure of CaP2RuCl (PBE).

Values from the calculation:
Energy above the most stable polymorph in this dataset = 720 kJ/mol of formula units
Energy = -0.2678 Ry per atom
Formation energy without anion corrections = 5.72 eV/f.u.

```
5
Lattice="5.277 0.000 0.000 0.000 5.277 0.000 0.000 0.000 4.980" Properties=species:S:1:pos:R:3 pbc="T T T"
Ca 0.000 0.000 0.000
P 0.000 2.638 0.000
P 2.638 0.000 0.000
Ru 2.638 2.638 2.490
Cl 0.000 0.000 2.490
```

=====

No. 11
Entry from Alexandria: an optimized crystal structure of NbAsPCl2 (PBE).

Values from the calculation:
Energy above the most stable polymorph in this dataset = 257 kJ/mol of formula units
Energy = -0.3017 Ry per atom
Formation energy without anion corrections = 3.30 eV/f.u.

```
5
Lattice="4.499 0.000 0.000 0.000 4.499 0.000 0.000 0.000 5.390" Properties=species:S:1:pos:R:3 pbc="T T T"
Nb 0.000 0.000 0.000
As 2.250 2.250 0.000
P 2.250 2.250 2.695
Cl 0.000 2.250 2.695
Cl 2.250 0.000 2.695
```

=====

No. 12
Entry from Alexandria: an optimized crystal structure of LiErIrPd (PBE).

Values from the calculation:
Calculated formation energy = -550 meV per atom
Energy = -0.4176 Ry per atom

```
4
Lattice="0.000 3.245 3.245 3.245 0.000 3.245 3.245 3.245 0.000" Properties=species:S:1:pos:R:3 pbc="T T T"
Li 0.000 0.000 0.000
Er 3.245 3.245 3.245
Ir 1.623 1.623 1.623
Pd 4.868 4.868 4.868
```

=====

No. 13
Entry from Alexandria: an optimized crystal structure of Na3Pm2ThS6 (PBE).

Values from the calculation:
Energy = -0.4080 Ry per atom
Formation energy without anion corrections = -20.97 eV/f.u.

```
12
Lattice="8.934 -2.037 0.000 8.934 2.037 0.000 -1.976 0.000 7.983" Properties=species:S:1:pos:R:3 pbc="T T T"
Na 0.000 0.000 0.000
Na 4.599 0.000 5.329
Na 11.293 0.000 2.654
Pm 5.601 0.000 1.287
Pm 10.291 0.000 6.696
Th -0.988 0.000 3.991
S 1.718 0.000 4.708
S 2.868 0.000 0.614
S 8.377 0.000 2.072
S 7.514 0.000 5.910
S 13.024 0.000 7.368
S 14.173 0.000 3.275
```

=====

No. 14
Entry from Alexandria: an optimized crystal structure of Ca2TlGeO6 (PBE).

Values from the calculation:
Energy = -0.4267 Ry per atom
Formation energy without anion corrections = -17.32 eV/f.u.

```
10
Lattice="5.228 0.000 0.000 0.000 5.228 0.000 0.000 0.000 5.327" Properties=species:S:1:pos:R:3 pbc="T T T"
Ca 0.000 2.614 0.000
Ca 2.614 0.000 0.000
Tl 0.000 0.000 2.747
Ge 2.614 2.614 3.061
O 0.000 0.000 0.661
O 1.397 1.397 3.796
O 1.397 3.831 3.796
O 2.614 2.614 1.286
O 3.831 1.397 3.796
O 3.831 3.831 3.796
```

=====

No. 15
Entry from Alexandria: an optimized crystal structure of SmHoP2O8 (PBE).

Values from the calculation:
Energy = -0.5791 Ry per atom
Formation energy without anion corrections = -34.77 eV/f.u.

```
12
Lattice="5.259 0.000 0.000 -2.629 4.554 0.000 0.000 0.000 7.053" Properties=species:S:1:pos:R:3 pbc="T T T"
Sm 0.000 0.000 0.000
Ho 0.000 0.000 3.526
P 0.000 3.036 5.636
P 2.629 1.518 1.417
O 0.000 1.575 5.101
O -1.265 3.766 5.101
O 0.000 3.036 0.108
O 1.364 0.788 1.952
O 1.265 3.766 5.101
O 2.629 1.518 6.945
O 3.894 0.788 1.952
O 2.629 2.979 1.952
```

=====

No. 16
Entry from Alexandria: an optimized crystal structure of Ba2TlBiS (PBE).

Values from the calculation:
Energy = -0.2251 Ry per atom
Formation energy without anion corrections = -1.10 eV/f.u.

```
5
Lattice="6.686 0.000 0.000 0.000 6.686 0.000 0.000 0.000 4.989" Properties=species:S:1:pos:R:3 pbc="T T T"
Ba 0.000 3.343 0.000
Ba 3.343 0.000 0.000
Tl 0.000 0.000 0.000
Bi 3.343 3.343 2.494
S 0.000 0.000 2.494
```

=====

No. 17
Entry from Alexandria: an optimized crystal structure of ZrTiMoOs2 (PBE).

Values from the calculation:
Calculated formation energy = 1991 meV per atom
Energy = -0.5847 Ry per atom

```
5
Lattice="4.770 0.000 0.000 0.000 4.770 0.000 0.000 0.000 4.718" Properties=species:S:1:pos:R:3 pbc="T T T"
Zr 0.000 0.000 0.000
Ti 2.385 2.385 2.359
Mo 0.000 0.000 2.359
Os 0.000 2.385 0.000
Os 2.385 0.000 0.000
```

=====

No. 18
Entry from Alexandria: an optimized crystal structure of YMgGa2Au2 (PBE).

Values from the calculation:
Calculated formation energy = -628 meV per atom
Energy = -0.2993 Ry per atom

```
6
Lattice="4.490 0.000 0.000 -2.245 3.888 0.000 0.000 0.000 6.774" Properties=species:S:1:pos:R:3 pbc="T T T"
Y 0.000 0.000 0.000
Mg 0.000 0.000 3.387
Ga 0.000 2.592 4.966
Ga 2.245 1.296 1.807
Au 0.000 2.592 1.875
Au 2.245 1.296 4.898
```

=====

No. 19
Entry from Alexandria: an optimized crystal structure of NaVP2Cl (PBE).

Values from the calculation:
Energy above the most stable polymorph in this dataset = 0 kJ/mol of formula units
Energy = -0.3662 Ry per atom
Formation energy without anion corrections = -1.81 eV/f.u.

```
5
Lattice="4.462 0.000 0.000 0.000 4.462 0.000 0.000 0.000 5.420" Properties=species:S:1:pos:R:3 pbc="T T T"
Na 0.000 0.000 0.000
V 2.231 2.231 2.710
P 0.000 2.231 2.710
P 2.231 0.000 2.710
Cl 2.231 2.231 0.000
```

=====

No. 20
Entry from Alexandria: an optimized crystal structure of SrPu5Te6 (PBE).

Values from the calculation:
Energy = -0.6481 Ry per atom
Formation energy without anion corrections = -13.62 eV/f.u.

```
12
Lattice="3.890 -6.729 0.000 3.890 6.729 0.000 -2.592 0.000 7.339" Properties=species:S:1:pos:R:3 pbc="T T T"
Sr 0.000 0.000 0.000
Pu 2.594 4.534 3.670
Pu 3.890 2.250 0.000
Pu 2.594 0.000 3.670
Pu 3.890 -2.250 0.000
Pu 2.594 -4.534 3.670
Te 1.325 2.307 1.871
Te 0.057 0.000 5.493
Te 1.325 -2.307 1.871
Te 3.862 2.307 5.468
Te 5.130 0.000 1.846
Te 3.862 -2.307 5.468
```